Record 1
Below is a relaxed LiPW2 crystal, with properties calculated at the PBE-GGA level.

Cell and atoms, written as POSCAR:
```
LiPW2
1.0
4.825 0.006 0.003
1.894 4.438 -0.003
-3.013 -2.745 2.582
Li P W
1 1 2
Direct
0.481 0.481 0.000 Li
0.254 0.754 0.500 P
0.015 0.015 0.000 W
0.750 0.250 0.500 W
```

Calculated values
Uncorrected energy ... -8.114 eV per atom


Record 2
Below is a relaxed LiAcZrRh crystal, with properties calculated at the PBE-GGA level.

Cell and atoms, written as POSCAR:
```
LiAcZrRh
1.0
5.033 0.000 0.000
2.516 4.359 0.000
2.516 1.453 4.109
Ac Rh Zr Li
1 1 1 1
Direct
0.750 0.750 0.750 Ac
0.500 0.500 0.500 Rh
0.250 0.250 0.250 Zr
0.000 0.000 0.000 Li
```

Calculated values
Uncorrected energy ... -5.558 eV per atom


Record 3
Below is a relaxed Nd2DyZn3 crystal, with properties calculated at the PBE-GGA level.

Cell and atoms, written as POSCAR:
```
Nd2DyZn3
1.0
-4.352 0.562 2.696
1.536 -4.694 -1.460
3.258 -0.609 5.385
Nd Dy Zn
2 1 3
Direct
0.667 0.333 0.326 Nd
0.333 0.667 0.674 Nd
0.000 0.000 0.000 Dy
0.000 0.000 0.500 Zn
0.667 0.333 0.835 Zn
0.333 0.667 0.165 Zn
```

Calculated values
Uncorrected energy ... -3.309 eV per atom
Excess energy over the best structure of this formula in the dataset ... 0 meV per atom


Record 4
Below is a relaxed SrGa4Pd2Pt crystal, with properties calculated at the PBE-GGA level.

Cell and atoms, written as POSCAR:
```
SrGa4Pd2Pt
1.0
-0.899 -2.732 -3.230
-2.751 -3.276 0.640
-8.386 3.498 -3.522
Sr Ga Pd Pt
1 4 2 1
Direct
0.000 0.000 0.000 Sr
0.405 0.405 0.785 Ga
0.866 0.866 0.401 Ga
0.134 0.134 0.599 Ga
0.595 0.595 0.215 Ga
0.765 0.765 0.704 Pd
0.235 0.235 0.296 Pd
0.500 0.500 0.500 Pt
```

Calculated values
Uncorrected energy ... -4.379 eV per atom


Record 5
Below is a relaxed LiScRe2 crystal, with properties calculated at the PBE-GGA level.

Cell and atoms, written as POSCAR:
```
LiScRe2
1.0
-1.393 1.406 -2.537
-3.036 -2.935 0.041
-2.494 2.619 2.821
Li Re Sc
1 2 1
Direct
0.000 0.500 0.500 Li
0.000 0.000 0.000 Re
0.500 0.500 0.000 Re
0.500 0.000 0.500 Sc
```

Calculated values
Uncorrected energy ... -8.202 eV per atom
Excess energy over the best structure of this formula in the dataset ... 103 meV per atom


Record 6
Below is a relaxed Th3H12Rh5 crystal, with properties calculated at the PBE-GGA level.

Cell and atoms, written as POSCAR:
```
Th3H12Rh5
1.0
-0.187 8.738 -5.501
-6.659 -6.768 -4.062
-2.676 2.023 9.767
Th Rh H
12 20 48
Direct
0.750 0.375 0.125 Th
0.875 0.750 0.125 Th
0.375 0.750 0.625 Th
0.250 0.125 0.375 Th
0.875 0.125 0.250 Th
0.375 0.625 0.250 Th
0.625 0.375 0.750 Th
0.125 0.875 0.750 Th
0.750 0.875 0.625 Th
0.625 0.250 0.375 Th
0.125 0.250 0.875 Th
0.250 0.625 0.875 Th
0.125 0.375 0.250 Rh
0.000 0.500 0.000 Rh
0.000 0.000 0.000 Rh
0.375 0.250 0.125 Rh
0.500 0.000 0.500 Rh
0.500 0.500 0.000 Rh
0.125 0.750 0.375 Rh
0.750 0.125 0.875 Rh
0.750 0.625 0.375 Rh
0.375 0.125 0.750 Rh
0.625 0.875 0.250 Rh
0.500 0.500 0.500 Rh
0.500 0.000 0.000 Rh
0.000 0.000 0.500 Rh
0.250 0.375 0.625 Rh
0.250 0.875 0.125 Rh
0.000 0.500 0.500 Rh
0.875 0.250 0.625 Rh
0.625 0.750 0.875 Rh
0.875 0.625 0.750 Rh
0.684 0.095 0.007 H
0.323 0.507 0.412 H
0.993 0.405 0.316 H
0.507 0.184 0.095 H
0.589 0.684 0.677 H
0.993 0.588 0.177 H
0.323 0.816 0.411 H
0.088 0.911 0.095 H
0.588 0.993 0.677 H
0.684 0.589 0.177 H
0.816 0.493 0.405 H
0.823 0.912 0.007 H
0.095 0.684 0.507 H
0.405 0.412 0.089 H
0.089 0.912 0.405 H
0.411 0.095 0.588 H
0.089 0.177 0.184 H
0.493 0.677 0.088 H
0.823 0.911 0.316 H
0.095 0.411 0.088 H
0.405 0.993 0.816 H
0.588 0.595 0.411 H
0.912 0.823 0.507 H
0.816 0.323 0.911 H
0.412 0.405 0.589 H
0.088 0.177 0.493 H
0.184 0.677 0.089 H
0.177 0.089 0.684 H
0.595 0.007 0.184 H
0.905 0.589 0.912 H
0.507 0.323 0.912 H
0.589 0.905 0.412 H
0.911 0.823 0.816 H
0.911 0.088 0.595 H
0.905 0.316 0.493 H
0.177 0.088 0.993 H
0.595 0.588 0.911 H
0.412 0.007 0.323 H
0.316 0.411 0.823 H
0.184 0.507 0.595 H
0.912 0.089 0.905 H
0.677 0.184 0.589 H
0.493 0.816 0.905 H
0.007 0.412 0.823 H
0.411 0.316 0.323 H
0.007 0.595 0.684 H
0.677 0.493 0.588 H
0.316 0.905 0.993 H
```

Calculated values
Uncorrected energy ... -5.258 eV per atom


Record 7
Below is a relaxed Sm2AuI crystal, with properties calculated at the PBE-GGA level.

Cell and atoms, written as POSCAR:
```
Sm2AuI
1.0
3.629 0.000 0.000
0.000 3.629 0.000
0.000 0.000 8.405
I Au Sm
1 1 2
Direct
0.500 0.500 0.500 I
0.500 0.500 0.000 Au
0.000 0.000 0.778 Sm
0.000 0.000 0.222 Sm
```

Calculated values
Uncorrected energy ... -4.270 eV per atom
Excess energy over the best structure of this formula in the dataset ... 119 meV per atom
E_form (uncorrected) ... -0.70 eV/atom


Number 1 is which compound?
LiPW2


What did the third record say?
Below is a relaxed Nd2DyZn3 crystal, with properties calculated at the PBE-GGA level.

Cell and atoms, written as POSCAR:
```
Nd2DyZn3
1.0
-4.352 0.562 2.696
1.536 -4.694 -1.460
3.258 -0.609 5.385
Nd Dy Zn
2 1 3
Direct
0.667 0.333 0.326 Nd
0.333 0.667 0.674 Nd
0.000 0.000 0.000 Dy
0.000 0.000 0.500 Zn
0.667 0.333 0.835 Zn
0.333 0.667 0.165 Zn
```

Calculated values
Uncorrected energy ... -3.309 eV per atom
Excess energy over the best structure of this formula in the dataset ... 0 meV per atom